Density functional theory data (GGA+U) for crystalline SrTi2MoO8 at its relaxed geometry. Values from VASP.

Structure (Quantum ESPRESSO input):
```
&SYSTEM
  ibrav = 0, nat = 12, ntyp = 4
/
ATOMIC_SPECIES
Sr 87.62 Sr.upf
Ti 47.87 Ti.upf
Mo 95.94 Mo.upf
O 16.00 O.upf
CELL_PARAMETERS angstrom
4.974 0.509 0.339
0.563 4.968 0.341
0.490 0.481 6.882
ATOMIC_POSITIONS crystal
Sr 0.000 0.000 0.500
Ti 0.441 0.441 0.722
Ti 0.559 0.559 0.278
Mo 0.000 0.000 0.000
O 0.225 0.786 0.203
O 0.756 0.755 0.067
O 0.785 0.225 0.203
O 0.775 0.214 0.797
O 0.244 0.245 0.933
O 0.215 0.775 0.797
O 0.663 0.662 0.491
O 0.337 0.338 0.509
```

Output
M_tot: 0.0 μB per formula unit
DOS at the Fermi energy: 0.00 states/eV/cell
Electronic total energy: -0.2889 hartree per atom